{"formula": "CsBaPb2", "functional": "PBE", "state": "relaxed", "delta_e_f_ev_per_atom": -0.336, "energy_ev_per_atom": -2.884, "magmom_total_mub_per_atom": 0.00, "polymorph_energy_ev_per_atom": 0.000, "volume_a3_per_atom": 43.35, "dos_ef_per_ev_atom": 0.28, "sg": "No. 62", "lattice": [[-2.443, 6.604, 4.838], [3.254, -2.921, 5.632], [9.594, 5.514, -2.683]], "species": ["Cs", "Cs", "Cs", "Cs", "Ba", "Ba", "Ba", "Ba", "Pb", "Pb", "Pb", "Pb", "Pb", "Pb", "Pb", "Pb"], "fractional_positions": [[0.750, 0.997, 0.279], [0.750, 0.497, 0.221], [0.250, 0.003, 0.721], [0.250, 0.503, 0.779], [0.750, 0.652, 0.871], [0.750, 0.152, 0.629], [0.250, 0.348, 0.129], [0.250, 0.848, 0.371], [0.929, 0.673, 0.561], [0.571, 0.173, 0.939], [0.429, 0.327, 0.439], [0.071, 0.827, 0.061], [0.071, 0.327, 0.439], [0.429, 0.827, 0.061], [0.571, 0.673, 0.561], [0.929, 0.173, 0.939]]}